No. 1
The following is a DFT calculation (PBE-GGA) of AgMo2Cl8 after structural relaxation.

Cell: 6.663 8.006 8.006 Å, 67.39 79.00 79.00°
Site moments in Bohr magnetons follow the coordinates.
Sites, in units of the cell vectors:
Cl 0.221 0.295 0.914  0.03
Cl 0.779 0.086 0.705  0.03
Cl 0.690 0.180 0.180  0.04
Ag 0.000 0.000 0.000  0.04
Mo 0.340 0.193 0.193  1.95
Cl 0.310 0.820 0.820  0.04
Cl 0.779 0.705 0.086  0.03
Cl 0.234 0.367 0.367  0.05
Cl 0.766 0.633 0.633  0.05
Cl 0.221 0.914 0.295  0.03
Mo 0.660 0.807 0.807  1.95

Output
**Formation energy from raw total energies**: -583 meV per atom
**E_tot**: -45.70 eV/cell
**Fermi-level density of states**: 5.529 states/eV per cell


No. 2
The following is a DFT calculation (PBE-GGA) of Al6Cu5Tc after structural relaxation.

Cell: 4.261 5.783 6.922 Å, 90.00 72.07 90.00°
Sites, in units of the cell vectors:
Al 0.500 0.255 0.000
Cu 0.341 0.000 0.318
Cu 0.678 0.500 0.645
Al 0.834 0.245 0.332
Cu 0.000 0.500 0.000
Cu 0.659 0.000 0.682
Al 0.500 0.745 0.000
Al 0.166 0.755 0.668
Tc 0.000 0.000 0.000
Cu 0.322 0.500 0.355
Al 0.834 0.755 0.332
Al 0.166 0.245 0.668

Output
**E_tot**: -56.46 eV/cell
**Calculated formation energy**: -0.26 eV per atom
**Fermi-level density of states**: 3.250 states/eV per cell


No. 3
The following is a DFT calculation (PBE-GGA) of Ba2Cu2O3 after structural relaxation.

Cell: 4.126 5.641 8.029 Å, 120.68 104.89 90.00°
Sites, in units of the cell vectors:
Ba 0.366 0.029 0.732
Ba 0.634 0.971 0.268
O 0.829 0.251 0.659
O 0.000 0.000 0.000
O 0.171 0.749 0.341
Cu 0.916 0.620 0.832
Cu 0.084 0.380 0.168

Output
**Formation energy from raw total energies**: -1658 meV per atom
**E_tot**: -38.52 eV/cell
**Fermi-level density of states**: 0.000 states/eV per cell


No. 4
The following is a DFT calculation (PBE-GGA) of AcAlO4 after structural relaxation.

Cell: 5.164 5.164 5.164 Å, 60.00 60.00 60.00°
Site moments in Bohr magnetons follow the coordinates.
Sites, in units of the cell vectors:
Al 0.000 0.000 0.000  0.02
O 0.865 0.405 0.865  0.45
O 0.865 0.865 0.865  0.45
O 0.865 0.865 0.405  0.45
Ac 0.500 0.500 0.500  -0.02
O 0.405 0.865 0.865  0.45

Output
**Formation energy from raw total energies**: -1712 meV per atom
**E_tot**: -37.95 eV/cell
**Fermi-level density of states**: 5.202 states/eV per cell


No. 5
The following is a DFT calculation (PBE-GGA) of Sc6TiIn5 after structural relaxation.

Cell: 5.011 7.065 7.952 Å, 90.00 108.49 90.00°
Site moments in Bohr magnetons follow the coordinates.
Sites, in units of the cell vectors:
In 0.670 0.500 0.338  0.01
In 0.330 0.500 0.662  0.01
In 0.343 0.000 0.687  -0.02
Sc 0.500 0.746 0.000  0.17
Sc 0.167 0.757 0.333  0.09
Sc 0.500 0.254 0.000  0.17
In 0.000 0.500 0.000  -0.02
Ti 0.000 0.000 0.000  1.48
Sc 0.833 0.243 0.667  0.09
In 0.657 0.000 0.313  -0.02
Sc 0.167 0.243 0.333  0.09
Sc 0.833 0.757 0.667  0.09

Output
**E_tot**: -64.08 eV/cell
**Calculated formation energy**: -0.38 eV per atom
**Fermi-level density of states**: 8.479 states/eV per cell


No. 6
The following is a DFT calculation (PBE-GGA) of TiSF after structural relaxation.

Cell: 3.428 3.676 3.676 Å, 120.00 90.00 90.00°
Site moments in Bohr magnetons follow the coordinates.
Sites, in units of the cell vectors:
Ti 0.167 0.667 0.333  0.84
S 0.667 0.333 0.667  -0.07
F 0.167 0.000 0.000  -0.01

Output
**Formation energy from raw total energies**: -1776 meV per atom
**E_tot**: -19.22 eV/cell
**Fermi-level density of states**: 2.707 states/eV per cell


No. 7
The following is a DFT calculation (PBE-GGA) of AcGa3Ge3 after structural relaxation.

Cell: 4.339 9.996 9.997 Å, 120.00 90.00 90.00°
Sites, in units of the cell vectors:
Ge 0.250 0.083 0.409
Ge 0.750 0.674 0.083
Ga 0.250 0.331 0.397
Ga 0.250 0.065 0.669
Ge 0.750 0.409 0.326
Ga 0.750 0.935 0.331
Ga 0.250 0.603 0.935
Ga 0.750 0.669 0.603
Ga 0.750 0.397 0.065
Ge 0.250 0.326 0.917
Ge 0.250 0.591 0.674
Ge 0.750 0.917 0.591
Ac 0.750 0.333 0.667
Ac 0.250 0.667 0.333

Output
**E_tot**: -57.74 eV/cell
**Calculated formation energy**: -0.26 eV per atom
**Fermi-level density of states**: 2.423 states/eV per cell


No. 8
The following is a DFT calculation (PBE-GGA) of SiIr after structural relaxation.

Cell: 2.987 2.987 3.654 Å, 90.00 90.00 120.00°
Sites, in units of the cell vectors:
Si 0.333 0.667 0.500
Ir 0.000 0.000 0.000

Output
**Formation energy from raw total energies**: -365 meV per atom
**E_tot**: -15.01 eV/cell
**Fermi-level density of states**: 0.605 states/eV per cell


> Which formula does entry 6 have?

TiSF


> Among the records above, which one has the lowest Fermi-level density of states?

Ba2Cu2O3